The following is a GGA-PBE calculation of an optimized crystal structure of MgAg3O, from Alexandria.

The calculation puts the uncorrected formation energy at 0.064 eV per atom. The calculation puts the density of states at the Fermi level at 2.74 states/eV per cell. For the total magnetic moment, the calculation gives 0.0 μB per formula unit. As for the final energy: -14.78 eV/cell.

The space group is Pm-3m (No. 221) and the conventional cell measures 4.544, 4.544 and 4.544 Å, with angles of 90.00, 90.00 and 90.00 degrees. The distinct sites, in fractional coordinates, are Mg at (0.000, 0.000, 0.000), Ag at (0.000, 0.500, 0.500) and O at (0.500, 0.500, 0.500).